Compound: Y3FeSe
Source: Alexandria
Functional: PBE-GGA
Structure: relaxed

Output
Space-group type: Pm-3m, No. 221
Total magnetization: 0.00 μB per formula unit
ΔE to the lowest computed polymorph: 501 meV/atom
Uncorrected formation energy: -0.190 eV per atom
Crystal system: cubic

```
5
Lattice="-0.9851 0.1156 -5.0372 4.8952 -1.1938 -0.9847 -1.1935 -4.9919 0.1188" Properties=species:S:1:pos:R:3 pbc="T T T"
Y 2.4476 -0.5969 -0.4924
Y -0.5968 -2.4959 0.0594
Y -0.4926 0.0578 -2.5186
Se 1.3583 -3.0350 -2.9516
Fe 0.0000 0.0000 0.0000
```